No. 1
MgTaAs SCAN PBEsol geometry; energy = -30.52 eV per atom; space-group type = P3m1; size of the total moment = 0.001 μB per formula unit
1.0
-0.4922 -2.7169 1.4143
2.1704 0.2303 -2.2047
4.5063 1.5788 4.6012
Mg Ta As
1 1 1
Cartesian
4.3142 0.3099 2.0968
1.7963 -1.2437 1.6384
0.0740 0.0259 0.0756

---

No. 2
CdPtO2F SCAN PBEsol geometry; energy = -23.05 eV per atom; energy relative to the elements, uncorrected = 0.28 eV per atom; space-group type = P4/mmm; size of the total moment = 2.406 μB per formula unit
1.0
4.0998 0.0000 0.0000
0.0000 4.1519 0.0000
0.0000 0.0000 4.1519
Pt Cd O F
1 1 2 1
Cartesian
2.0499 2.0759 2.0759
0.0000 0.0000 0.0000
0.0000 2.0759 0.0000
0.0000 0.0000 2.0759
2.0499 0.0000 0.0000

---

No. 3
Li2CeSmMo4O16 SCAN PBEsol geometry; energy = -16.48 eV per atom; energy relative to the elements, uncorrected = -2.60 eV per atom; space-group type = P-4; size of the total moment = 1.065 μB per formula unit
1.0
5.1802 0.0000 0.0000
0.0000 5.1802 0.0000
0.0000 0.0000 11.1237
O Li Ce Mo Sm
16 2 1 4 1
Cartesian
3.8212 0.8057 7.3766
3.3901 1.3028 4.6151
3.4009 3.9282 9.3366
4.3745 3.8212 3.7470
4.3645 1.2586 10.1695
0.8057 1.3589 3.7470
3.8774 3.3901 6.5086
0.8157 3.9216 10.1695
1.7793 1.2520 9.3366
3.9282 1.7793 1.7871
1.7901 3.8774 4.6151
1.2586 0.8157 0.9542
3.9216 4.3645 0.9542
1.2520 3.4009 1.7871
1.3589 4.3745 7.3766
1.3028 1.7901 6.5086
0.0000 2.5901 8.3225
2.5901 0.0000 2.8012
0.0000 0.0000 5.5618
0.0000 0.0000 0.0000
2.5901 2.5901 5.5618
2.5901 0.0000 8.3721
0.0000 2.5901 2.7516
2.5901 2.5901 0.0000

---

No. 4
TcAg2As SCAN PBEsol geometry; energy = -29.36 eV per atom; space-group type = R3m; size of the total moment = 0.000 μB per formula unit
1.0
2.9412 0.0000 0.0000
1.4706 2.5471 0.0000
1.4706 0.8490 8.7330
Ag As Tc
2 1 1
Cartesian
4.4118 2.5471 0.0775
4.4118 2.5471 6.5464
2.9412 1.6981 4.1065
1.4706 0.8490 2.3691

---

No. 5
ZnFeAs2Se SCAN PBEsol geometry; energy = -17.43 eV per atom; energy relative to the elements, uncorrected = 0.99 eV per atom; space-group type = P4/mmm; size of the total moment = 3.022 μB per formula unit
1.0
4.6791 0.0000 0.0000
0.0000 4.6791 0.0000
0.0000 0.0000 4.8542
As Zn Se Fe
2 1 1 1
Cartesian
0.0000 2.3396 0.0000
2.3396 0.0000 0.0000
0.0000 0.0000 0.0000
0.0000 0.0000 2.4271
2.3396 2.3396 2.4271

---

No. 6
MgIn2P SCAN PBEsol geometry; energy = -20.43 eV per atom; space-group type = P4/mmm; size of the total moment = 0.000 μB per formula unit
1.0
-0.4958 -0.0264 3.4223
2.6998 -2.1283 0.3747
4.3904 5.6891 0.6799
In P Mg
2 1 1
Cartesian
3.1404 4.0693 0.4863
1.2500 1.6197 0.1936
3.2972 1.7672 2.2385
1.1020 -1.0773 1.8985

---

No. 7
CaTlCd2 SCAN PBEsol geometry; energy = -35.97 eV per atom; space-group type = Pm; size of the total moment = 0.000 μB per formula unit
1.0
-1.1785 -2.9508 -1.2675
1.9843 -2.3978 3.7371
-4.7937 1.4647 3.4851
Ca Cd Tl
1 2 1
Cartesian
-2.9106 -0.8336 4.1751
-1.0246 -2.4668 -1.0388
-1.0737 -3.1282 1.7276
-3.1438 -1.1489 0.9320

---

No. 8
Ca2Tl2Ag SCAN PBEsol geometry; energy = -39.18 eV per atom; space-group type = I4/mmm; size of the total moment = 0.000 μB per formula unit
1.0
5.9698 0.0137 0.0196
-2.8709 5.2342 -0.0196
-2.8709 -1.8436 4.8988
Ca Tl Ag
2 2 1
Cartesian
0.1140 3.4716 1.2198
0.1140 -0.0673 3.6790
-3.8302 2.2618 3.2548
-1.9116 1.1288 1.6244
0.0000 0.0000 0.0000

---

No. 9
TePbAu2 SCAN PBEsol geometry; energy = -62.86 eV per atom; energy relative to the elements, uncorrected = -0.02 eV per atom; space-group type = Pmmm; size of the total moment = 0.000 μB per formula unit
1.0
-3.3068 1.5922 1.2644
-0.6581 -3.6196 2.8370
2.8151 2.6464 4.0294
Te Au Pb
1 2 1
Cartesian
1.0785 -0.4866 3.4332
0.6648 0.6253 0.9521
-1.1566 3.6133 4.3417
-1.9824 -1.0137 2.0507

---

No. 10
NaAlPd3 SCAN PBEsol geometry; energy = -22.19 eV per atom; space-group type = Pm-3m; size of the total moment = 0.000 μB per formula unit
1.0
-3.5996 -1.3794 2.4622
-0.3640 -3.7303 -2.6219
2.7987 -2.2593 2.8258
Pd Na Al
3 1 1
Cartesian
-0.1820 -1.8651 -1.3110
-1.7998 -0.6897 1.2311
1.3994 -1.1296 1.4129
-0.5824 -3.6845 1.3330
0.0000 0.0000 0.0000

---

No. 11
As2PtSeF SCAN PBEsol geometry; energy = -26.41 eV per atom; energy relative to the elements, uncorrected = 0.43 eV per atom; space-group type = P4/mmm; size of the total moment = 1.464 μB per formula unit
1.0
-0.9889 -0.9771 4.5893
4.5310 -1.4177 0.6745
1.2738 4.6752 1.2699
As Pt Se F
2 1 1 1
Cartesian
2.2655 -0.7088 0.3373
-0.4945 -0.4886 2.2947
0.0000 0.0000 0.0000
0.6369 2.3376 0.6349
2.4079 1.1402 3.2669

---

No. 12
NdIn2Rh SCAN PBEsol geometry; energy = -36.77 eV per atom; space-group type = Cmcm; size of the total moment = 0.000 μB per formula unit
1.0
4.3842 0.0000 0.0000
-2.1921 5.0689 0.0000
0.0000 0.0000 7.8486
Nd In Rh
2 4 2
Cartesian
2.1921 0.6870 5.8864
0.0000 4.3819 1.9621
0.0000 1.4711 3.5281
2.1921 3.5978 4.3205
2.1921 3.5978 7.4524
0.0000 1.4711 0.3962
2.1921 2.1691 1.9621
0.0000 2.8998 5.8864

---

No. 13
TlCd3 SCAN PBEsol geometry; energy = -40.83 eV per atom; space-group type = Pmmm; size of the total moment = 0.000 μB per formula unit
1.0
-0.6430 3.0203 -0.7748
-0.5670 -1.2050 -4.2265
-6.2886 -1.0459 1.1418
Tl Cd
1 3
Cartesian
0.0000 0.0000 0.0000
-5.2128 0.1413 -1.6640
-2.2858 0.6281 -2.1955
-3.1443 -0.5230 0.5709

---

No. 14
NaNbTe2O SCAN PBEsol geometry; energy = -23.82 eV per atom; energy relative to the elements, uncorrected = -0.20 eV per atom; space-group type = P4/mmm; size of the total moment = 2.753 μB per formula unit
1.0
4.0565 0.0000 0.0000
0.0000 4.8778 0.0000
0.0000 0.0000 4.8778
O Na Nb Te
1 1 1 2
Cartesian
0.0000 0.0000 0.0000
2.0283 0.0000 0.0000
2.0283 2.4389 2.4389
0.0000 2.4389 0.0000
0.0000 0.0000 2.4389

---

No. 15
Nd2Mg SCAN PBEsol geometry; energy = -30.78 eV per atom; space-group type = I4/mmm; size of the total moment = 0.310 μB per formula unit
1.0
-2.4341 0.1445 -2.6994
1.0003 -3.3265 -1.0801
-3.9858 -1.1523 5.9832
Nd Mg
2 1
Cartesian
-2.2230 -2.4695 -0.5788
-3.1966 -1.8647 2.7825
0.0000 0.0000 0.0000

---

No. 16
Y3AlTl SCAN PBEsol geometry; energy = -32.66 eV per atom; space-group type = Pm-3m; size of the total moment = 0.000 μB per formula unit
1.0
5.4071 0.0000 0.0000
0.0000 5.4071 0.0000
0.0000 0.0000 5.4071
Y Tl Al
3 1 1
Cartesian
0.0000 2.7036 0.0000
2.7036 0.0000 0.0000
0.0000 0.0000 2.7036
2.7036 2.7036 2.7036
0.0000 0.0000 0.0000

---

No. 17
DyErRh2 SCAN PBEsol geometry; energy = -42.46 eV per atom; space-group type = Fm-3m; size of the total moment = 0.000 μB per formula unit
1.0
4.7429 0.0000 0.0000
2.3714 4.1074 0.0000
2.3714 1.3691 3.8725
Er Rh Dy
1 2 1
Cartesian
0.0000 0.0000 0.0000
7.1143 4.1074 2.9044
2.3714 1.3691 0.9681
4.7429 2.7383 1.9363

---

No. 18
SiCBr2 SCAN PBEsol geometry; energy = -12.79 eV per atom; energy relative to the elements, uncorrected = 1.97 eV per atom; space-group type = I-42d; size of the total moment = 0.001 μB per formula unit
1.0
-1.7495 5.0990 -2.4776
2.4263 -1.6700 -5.1501
-5.0911 -4.0631 2.3363
Br C Si
4 2 2
Cartesian
-3.6900 -0.7013 -2.3894
-1.6812 2.2002 -3.2141
-0.0183 0.0546 -5.1523
-3.4389 -2.8216 0.1731
-3.2511 1.3752 -1.9776
0.3384 1.7145 -3.8139
0.0000 0.0000 0.0000
-1.1632 -2.0093 -3.3138

---

No. 19
Sr7Ca SCAN PBEsol geometry; energy = -20.69 eV per atom; space-group type = Fm-3m; size of the total moment = 1.252 μB per formula unit
1.0
-2.9464 -7.5570 1.7269
1.6301 -6.3471 -5.0822
5.1738 -6.0170 2.4082
Sr Ca
7 1
Cartesian
-0.6581 -6.9521 -1.6776
2.5869 -3.0085 1.2041
0.8151 -3.1736 -2.5411
1.1137 -6.7870 2.0676
3.4019 -6.1821 -1.3370
-1.4732 -3.7785 0.8635
1.9287 -9.9606 -0.4735
0.0000 0.0000 0.0000

---

No. 20
Hf2Cr3Si SCAN PBEsol geometry; energy = -32.08 eV per atom; energy relative to the elements, uncorrected = -0.33 eV per atom; space-group type = P6_3/mmc; size of the total moment = 0.000 μB per formula unit
1.0
4.9099 0.0000 0.0000
-2.4550 4.2521 0.0000
0.0000 0.0000 8.1974
Hf Cr Si
4 6 2
Cartesian
0.0000 2.8347 4.6268
2.4550 1.4174 0.5281
0.0000 2.8347 7.6694
2.4550 1.4174 3.5707
-1.1823 3.5173 2.0494
1.2727 0.7348 6.1481
1.1823 3.5173 2.0494
3.6373 0.7348 6.1481
2.4550 2.7826 6.1481
0.0000 1.4695 2.0494
0.0000 0.0000 0.0000
0.0000 0.0000 4.0987

---

No. 21
BOs3C SCAN PBEsol geometry; energy = -44.70 eV per atom; space-group type = Pm-3m; size of the total moment = 0.001 μB per formula unit
1.0
4.0070 0.0000 0.0000
0.0000 4.0070 0.0000
0.0000 0.0000 4.0070
Os B C
3 1 1
Cartesian
2.0035 0.0000 0.0000
0.0000 2.0035 0.0000
0.0000 0.0000 2.0035
0.0000 0.0000 0.0000
2.0035 2.0035 2.0035

---

No. 22
PuAu3 SCAN PBEsol geometry; energy = -79.71 eV per atom; space-group type = Fm-3m; size of the total moment = 5.258 μB per formula unit
1.0
4.8192 0.0000 0.0000
2.4096 4.1736 0.0000
2.4096 1.3912 3.9349
Au Pu
3 1
Cartesian
2.4096 1.3912 0.9837
4.8192 2.7824 1.9674
7.2288 4.1736 2.9512
0.0000 0.0000 0.0000

---

No. 23
BaTi14O28 SCAN PBEsol geometry; energy = -13.50 eV per atom; energy relative to the elements, uncorrected = -3.30 eV per atom; space-group type = P-1; size of the total moment = 2.173 μB per formula unit
1.0
8.4139 -0.0086 0.0052
-3.8728 9.5186 -0.0112
-1.4539 -2.0413 13.2177
O Ti Ba
56 28 2
Cartesian
0.8863 4.7975 6.9688
6.6336 1.6459 4.0784
3.7551 1.0550 8.1700
1.1799 1.8394 11.0160
0.6453 7.9987 3.0384
-3.5463 5.8228 9.1333
5.5067 -0.1857 12.5888
2.9916 7.2334 11.9163
-1.0095 6.2195 9.7354
5.0487 3.2917 2.1996
5.7313 0.5630 1.5689
-2.1990 4.4337 4.5182
-3.4563 6.8231 5.3325
3.9632 1.4511 10.7019
5.3359 -0.6695 10.0506
-0.3428 -1.0142 9.7593
-1.5961 1.4235 10.5678
4.9930 2.3407 5.9760
0.1557 7.2982 12.0154
-0.4095 2.5374 12.8825
5.6703 -0.3892 5.3680
-0.0543 -0.2382 12.5154
2.1746 6.3775 4.9096
3.4301 8.4829 3.4524
-2.5830 7.8579 7.8437
0.0957 0.2353 1.2954
1.9074 5.6293 2.1957
-2.4194 7.6544 0.6229
-0.2489 0.0147 5.9460
-1.9614 4.1770 11.0121
-0.8759 6.0176 2.5098
2.9316 0.1705 1.1963
-1.9057 5.1280 7.2357
0.9127 1.0912 8.3022
-0.6105 2.7310 6.3185
3.4387 3.9430 4.1127
0.5302 4.5913 11.5900
3.3363 7.4540 7.2657
4.0968 1.2492 3.4763
3.1416 7.7069 0.6963
3.4968 4.9313 0.3292
0.3693 7.2825 0.3240
5.2863 3.0350 8.6935
0.6995 4.2939 4.3959
3.6978 4.7377 6.8932
-0.3514 3.5257 9.0990
4.6834 6.0451 2.6439
-2.6440 6.9056 11.6428
2.5571 2.8773 1.6217
2.3878 3.1748 8.8159
-2.2486 8.1381 3.1611
2.2010 2.6711 6.2429
6.5436 0.6456 7.8792
2.7180 0.1862 12.8878
-0.6678 6.4137 5.0417
2.4420 -0.5300 10.1733
3.5623 4.5408 2.2166
5.5781 -0.0158 3.4672
-0.4750 2.9279 10.9952
3.7913 2.8057 7.3961
2.3132 4.5471 5.5524
-3.4892 6.2481 7.1771
-2.0799 4.5569 9.1361
-1.4699 -0.3984 11.2067
4.1299 1.6529 1.5241
5.3263 1.1358 9.2855
6.5765 1.2206 6.0346
-0.8412 7.7823 1.7314
-0.7039 4.6630 5.8156
2.0280 6.1921 0.2889
-3.8508 7.3759 13.0604
0.7741 2.9215 7.6593
2.3731 1.3815 9.6153
-2.2389 6.3329 3.9262
4.5572 7.8671 2.0050
1.0593 1.2766 12.9228
-1.0426 5.8158 11.6876
5.1672 2.9118 4.0756
-0.2019 -0.4122 7.8740
3.9285 -0.3136 11.4803
-2.4908 7.4844 9.7445
0.7142 6.0871 3.5964
6.9381 0.0928 0.1513
3.2892 7.8809 5.3377
1.9302 6.0124 9.4265
1.1571 1.4562 3.7852